# CaAlAg2, optimized geometry, DFT GGA-PBEsol
data_CaAlAg2
_symmetry_space_group_name_H-M 'R 3 m'
_symmetry_Int_Tables_number 160
_symmetry_space_group_name_Hall 'R 3 -2"'
_cell_length_a 3.2596
_cell_length_b 3.2596
_cell_length_c 26.8432
_cell_angle_alpha 90.00
_cell_angle_beta 90.00
_cell_angle_gamma 120.00
loop_
_atom_site_label
_atom_site_fract_x
_atom_site_fract_y
_atom_site_fract_z
Ca1 0.0000 0.0000 0.0000
Al1 0.0000 0.0000 0.7621
Ag1 0.0000 0.0000 0.2437
Ag2 0.0000 0.0000 0.4987
# Size of the total moment: 0.000 μB/cell
# D(E_F): 5.65 states/eV per cell
# Formation energy: 0.1048 eV per atom
# Raw total energy: -37.28 eV per cell


# Zn2CrSbO6, optimized geometry, DFT GGA-PBEsol
data_Zn2CrSbO6
_symmetry_space_group_name_H-M 'P 1 21/m 1'
_symmetry_Int_Tables_number 11
_symmetry_space_group_name_Hall '-P 2yb'
_cell_length_a 5.1613
_cell_length_b 7.5966
_cell_length_c 5.2137
_cell_angle_alpha 90.00
_cell_angle_beta 90.19
_cell_angle_gamma 90.00
loop_
_atom_site_label
_atom_site_fract_x
_atom_site_fract_y
_atom_site_fract_z
Zn1 0.0131 0.2500 0.0552
Zn2 0.4807 0.7500 0.4786
Cr1 0.0000 0.0000 0.5000
Sb1 0.5000 0.0000 0.0000
O1 0.1115 0.7500 0.5763
O2 0.1760 0.0666 0.8211
O3 0.3253 0.0673 0.3217
O4 0.3694 0.7500 0.0792
# Size of the total moment: 6.000 μB/cell
# D(E_F): 0.98 states/eV per cell
# Formation energy without anion corrections: -1.502 eV per atom
# Raw total energy: -128.96 eV per cell


# AgPb2Cl, optimized geometry, DFT GGA-PBEsol
data_AgPb2Cl
_symmetry_space_group_name_H-M 'I m m 2'
_symmetry_Int_Tables_number 44
_symmetry_space_group_name_Hall 'I 2 -2'
_cell_length_a 3.3084
_cell_length_b 4.8803
_cell_length_c 12.4310
_cell_angle_alpha 90.00
_cell_angle_beta 90.00
_cell_angle_gamma 90.00
loop_
_atom_site_label
_atom_site_fract_x
_atom_site_fract_y
_atom_site_fract_z
Ag1 0.0000 0.0000 0.0000
Pb1 0.0000 0.0000 0.5531
Pb2 0.0000 0.5000 0.2928
Cl1 0.0000 0.5000 0.7733
# Size of the total moment: 0.000 μB/cell
# D(E_F): 3.61 states/eV per cell
# Formation energy without anion corrections: -0.149 eV per atom
# Raw total energy: -27.83 eV per cell


# PIr2Os, optimized geometry, DFT GGA-PBEsol
data_PIr2Os
_symmetry_space_group_name_H-M 'I m m 2'
_symmetry_Int_Tables_number 44
_symmetry_space_group_name_Hall 'I 2 -2'
_cell_length_a 2.7943
_cell_length_b 4.1815
_cell_length_c 9.3655
_cell_angle_alpha 90.00
_cell_angle_beta 90.00
_cell_angle_gamma 90.00
loop_
_atom_site_label
_atom_site_fract_x
_atom_site_fract_y
_atom_site_fract_z
P1 0.0000 0.0000 0.0000
Ir1 0.0000 0.0000 0.5101
Ir2 0.0000 0.5000 0.7049
Os1 0.0000 0.5000 0.3010
# Size of the total moment: 0.000 μB/cell
# D(E_F): 3.97 states/eV per cell
# Formation energy: 0.0267 eV per atom
# Raw total energy: -75.09 eV per cell


# CoCu3, optimized geometry, DFT GGA-PBEsol
data_CoCu3
_symmetry_space_group_name_H-M 'P 4/m m m'
_symmetry_Int_Tables_number 123
_symmetry_space_group_name_Hall '-P 4 2'
_cell_length_a 2.4626
_cell_length_b 2.4626
_cell_length_c 7.2900
_cell_angle_alpha 90.00
_cell_angle_beta 90.00
_cell_angle_gamma 90.00
loop_
_atom_site_label
_atom_site_fract_x
_atom_site_fract_y
_atom_site_fract_z
Co1 0.0000 0.0000 0.0000
Cu1 0.0000 0.0000 0.5000
Cu2 0.5000 0.5000 0.2475
# Size of the total moment: 1.628 μB/cell
# D(E_F): 2.84 states/eV per cell
# Formation energy: 0.0993 eV per atom
# Raw total energy: -20.34 eV per cell


# CoCu2AgSn, optimized geometry, DFT GGA-PBEsol
data_CoCu2AgSn
_symmetry_space_group_name_H-M 'P 4/m m m'
_symmetry_Int_Tables_number 123
_symmetry_space_group_name_Hall '-P 4 2'
_cell_length_a 4.6058
_cell_length_b 4.6058
_cell_length_c 4.9273
_cell_angle_alpha 90.00
_cell_angle_beta 90.00
_cell_angle_gamma 90.00
loop_
_atom_site_label
_atom_site_fract_x
_atom_site_fract_y
_atom_site_fract_z
Co1 0.0000 0.0000 0.0000
Cu1 0.0000 0.5000 0.5000
Ag1 0.5000 0.5000 0.5000
Sn1 0.5000 0.5000 0.0000
# Size of the total moment: 2.000 μB/cell
# D(E_F): 6.81 states/eV per cell
# Formation energy: 1.3484 eV per atom
# Raw total energy: -17.23 eV per cell


# VBiPbO5, optimized geometry, DFT GGA-PBEsol
data_VBiPbO5
_symmetry_space_group_name_H-M 'P -1'
_symmetry_Int_Tables_number 2
_symmetry_space_group_name_Hall '-P 1'
_cell_length_a 5.6496
_cell_length_b 7.1775
_cell_length_c 7.1945
_cell_angle_alpha 106.70
_cell_angle_beta 113.01
_cell_angle_gamma 96.67
loop_
_atom_site_label
_atom_site_fract_x
_atom_site_fract_y
_atom_site_fract_z
V1 0.1478 0.1504 0.3445
Bi1 0.4233 0.2449 0.9735
Pb1 0.1896 0.6171 0.3136
O1 0.0541 0.8958 0.1924
O2 0.1283 0.7655 0.7007
O3 0.2568 0.5041 0.9836
O4 0.3317 0.1960 0.6161
O5 0.3560 0.2931 0.2828
# Size of the total moment: 0.000 μB/cell
# Polymorph energy (0 for the lowest one): 0.0 kJ/mol of atoms
# D(E_F): 0.00 states/eV per cell
# Formation energy without anion corrections: -1.797 eV per atom
# Raw total energy: -117.09 eV per cell


# TlCo16Sb48, optimized geometry, DFT GGA-PBEsol
data_TlCo16Sb48
_symmetry_space_group_name_H-M 'C 1 2/m 1'
_symmetry_Int_Tables_number 12
_symmetry_space_group_name_Hall '-C 2y'
_cell_length_a 12.7330
_cell_length_b 9.0072
_cell_length_c 25.4565
_cell_angle_alpha 90.00
_cell_angle_beta 90.00
_cell_angle_gamma 90.00
loop_
_atom_site_label
_atom_site_fract_x
_atom_site_fract_y
_atom_site_fract_z
Tl1 0.0000 0.0000 0.0000
Co1 0.9998 0.2497 0.1257
Co2 0.0000 0.2500 0.3754
Co3 0.2500 0.2500 0.0000
Co4 0.2500 0.2501 0.2507
Co5 0.2500 0.2500 0.5000
Sb1 0.0801 0.1671 0.2906
Sb2 0.0803 0.1665 0.7892
Sb3 0.0802 0.3331 0.5398
Sb4 0.0804 0.3345 0.0407
Sb5 0.0850 0.5000 0.8717
Sb6 0.0861 0.0000 0.6227
Sb7 0.0862 0.5000 0.3737
Sb8 0.0884 0.0000 0.1256
Sb9 0.1649 0.3400 0.1684
Sb10 0.1662 0.1599 0.4171
Sb11 0.1665 0.3400 0.6661
Sb12 0.1690 0.1615 0.9151
Sb13 0.2445 0.5000 0.7915
Sb14 0.2464 0.0000 0.5431
Sb15 0.2468 0.5000 0.2941
Sb16 0.2501 0.0000 0.0444
# Size of the total moment: 0.002 μB/cell
# D(E_F): 19.98 states/eV per cell
# Formation energy without anion corrections: -0.221 eV per atom
# Raw total energy: -719.14 eV per cell